(1)
This record from Alexandria describes crystalline LaMg2Cu at its relaxed geometry. The functional is PBEsol.

a b c (Å): 4.984 4.984 4.984
angles (deg): 60.00 60.00 60.00
Fractional coordinates of all 4 atoms:
Mg 0.000 0.000 0.000
Mg 0.750 0.750 0.750
Cu 0.500 0.500 0.500
La 0.250 0.250 0.250

Computed properties:
- DOS(E_F): 0.43 states/eV per atom
- E_form: -29 kJ/mol of formula units
- SG: No. 216
- ρ: 4.76 g cm⁻³
- DFT total energy: -13.42 eV/cell
- M_tot: 0.00 μB per formula unit

=====

(2)
This record from Alexandria describes crystalline CdRhW2 at its relaxed geometry. The functional is PBEsol.

a b c (Å): 3.218 4.288 5.284
angles (deg): 113.94 107.73 90.00
Fractional coordinates of all 4 atoms:
Cd 0.500 0.000 0.000
Rh 0.000 0.500 0.000
W 0.743 0.743 0.485
W 0.257 0.257 0.515

Computed properties:
- DOS(E_F): 0.60 states/eV per atom
- E_form: 121 kJ/mol of formula units
- SG: No. 71
- ρ: 15.41 g cm⁻³
- DFT total energy: -35.69 eV/cell
- M_tot: 0.00 μB per formula unit

=====

(3)
This record from Alexandria describes crystalline BaSi2Rh at its relaxed geometry. The functional is PBEsol.

a b c (Å): 4.081 4.081 6.350
angles (deg): 71.26 71.26 60.00
Fractional coordinates of all 4 atoms:
Si 0.702 0.702 0.895
Si 0.298 0.298 0.105
Rh 0.000 0.000 0.000
Ba 0.500 0.500 0.500

Computed properties:
- DOS(E_F): 0.73 states/eV per atom
- SG: No. 166
- ρ: 5.79 g cm⁻³
- DFT total energy: -24.46 eV/cell
- Energy relative to the elements, uncorrected: -0.670 eV/atom
- M_tot: 0.00 μB per formula unit

=====

| no. | calculated volume (Å³ per atom) |
| --- | --- |
| 1 | 21.88 |
| 2 | 15.71 |
| 3 | 21.26 |